(1)
## Cs2PbO3 (PBEsol)

Data for a relaxed Cs2PbO3 crystal.

For the size of the total moment, the calculation gives 0.095 μB/f.u. The calculated density is 6.5 g cm⁻³. For the uncorrected formation energy, the calculation gives -1.2310 eV per atom. The crystal system is orthorhombic.

Cell: 6.839 6.839 6.077 Å, 90.00 90.00 68.99°
Element x y z (fractional)
1 Cs 0.018 0.308 0.250
2 Cs 0.308 0.018 0.750
3 Cs 0.692 0.982 0.250
4 Cs 0.982 0.692 0.750
5 Pb 0.410 0.590 0.250
6 Pb 0.590 0.410 0.750
7 O 0.146 0.854 0.250
8 O 0.374 0.374 0.000
9 O 0.374 0.374 0.500
10 O 0.626 0.626 0.000
11 O 0.626 0.626 0.500
12 O 0.854 0.146 0.750

(2)
## Cs2PbO2 (PBEsol)

Data for a relaxed Cs2PbO2 crystal.

For the size of the total moment, the calculation gives 0.000 μB/f.u. The calculated density is 6.0 g cm⁻³. For the uncorrected formation energy, the calculation gives -1.2398 eV per atom. The crystal system is triclinic.

Cell: 7.792 8.034 10.850 Å, 84.35 70.18 61.14°
Element x y z (fractional)
1 Cs 0.064 0.443 0.183
2 Cs 0.065 0.950 0.174
3 Cs 0.248 0.754 0.496
4 Cs 0.398 0.067 0.860
5 Cs 0.602 0.933 0.140
6 Cs 0.752 0.246 0.504
7 Cs 0.935 0.050 0.826
8 Cs 0.936 0.557 0.817
9 Pb 0.308 0.198 0.470
10 Pb 0.405 0.557 0.877
11 Pb 0.595 0.443 0.123
12 Pb 0.692 0.802 0.530
13 O 0.079 0.710 0.976
14 O 0.202 0.086 0.360
15 O 0.347 0.988 0.623
16 O 0.492 0.314 0.009
17 O 0.508 0.686 0.991
18 O 0.653 0.012 0.377
19 O 0.798 0.914 0.640
20 O 0.921 0.290 0.024

(3)
## Cs2PdO (PBEsol)

Data for a relaxed Cs2PdO crystal.

For the size of the total moment, the calculation gives 0.050 μB/f.u. The calculated density is 6.8 g cm⁻³. For the uncorrected formation energy, the calculation gives -0.0011 eV per atom. The crystal system is cubic.

Cell: 5.111 5.111 5.111 Å, 60.00 60.00 60.00°
Element x y z (fractional)
1 Cs 0.250 0.250 0.250
2 Cs 0.750 0.750 0.750
3 Pd 0.000 0.000 0.000
4 O 0.500 0.500 0.500

(4)
## CsPrS2O8 (PBEsol)

Data for a relaxed CsPrS2O8 crystal.

For the size of the total moment, the calculation gives 0.000 μB/f.u. The calculated density is 4.2 g cm⁻³. For the uncorrected formation energy, the calculation gives -2.1381 eV per atom. The crystal system is orthorhombic.

Cell: 9.578 14.011 5.462 Å, 90.00 90.00 90.00°
Element x y z (fractional)
1 Cs 0.076 0.250 0.250
2 Cs 0.424 0.750 0.250
3 Cs 0.576 0.250 0.750
4 Cs 0.924 0.750 0.750
5 Pr 0.250 0.000 0.674
6 Pr 0.250 0.500 0.826
7 Pr 0.750 0.000 0.326
8 Pr 0.750 0.500 0.174
9 S 0.086 0.585 0.264
10 S 0.086 0.915 0.236
11 S 0.414 0.085 0.236
12 S 0.414 0.415 0.264
13 S 0.586 0.585 0.736
14 S 0.586 0.915 0.764
15 S 0.914 0.085 0.764
16 S 0.914 0.415 0.736
17 O 0.063 0.114 0.777
18 O 0.063 0.386 0.723
19 O 0.096 0.018 0.305
20 O 0.096 0.482 0.195
21 O 0.152 0.602 0.505
22 O 0.152 0.898 0.995
23 O 0.159 0.640 0.067
24 O 0.159 0.860 0.433
25 O 0.341 0.140 0.433
26 O 0.341 0.360 0.067
27 O 0.348 0.102 0.995
28 O 0.348 0.398 0.505
29 O 0.404 0.518 0.195
30 O 0.404 0.982 0.305
31 O 0.437 0.614 0.723
32 O 0.437 0.886 0.777
33 O 0.563 0.114 0.223
34 O 0.563 0.386 0.277
35 O 0.596 0.018 0.695
36 O 0.596 0.482 0.805
37 O 0.652 0.602 0.495
38 O 0.652 0.898 0.005
39 O 0.659 0.640 0.933
40 O 0.659 0.860 0.567
41 O 0.841 0.140 0.567
42 O 0.841 0.360 0.933
43 O 0.848 0.102 0.005
44 O 0.848 0.398 0.495
45 O 0.904 0.518 0.805
46 O 0.904 0.982 0.695
47 O 0.937 0.614 0.277
48 O 0.937 0.886 0.223

(5)
## CsPrW2O8 (PBEsol)

Data for a relaxed CsPrW2O8 crystal.

For the size of the total moment, the calculation gives 0.000 μB/f.u. The calculated density is 7.5 g cm⁻³. For the uncorrected formation energy, the calculation gives -2.5196 eV per atom. The crystal system is monoclinic.

Cell: 7.670 7.670 7.612 Å, 117.10 117.10 90.02°
Element x y z (fractional)
1 Cs 0.198 0.802 0.750
2 Cs 0.802 0.198 0.250
3 Pr 0.227 0.773 0.250
4 Pr 0.773 0.227 0.750
5 W 0.305 0.313 0.274
6 W 0.313 0.305 0.774
7 W 0.687 0.695 0.226
8 W 0.695 0.687 0.726
9 O 0.059 0.210 0.697
10 O 0.075 0.389 0.139
11 O 0.210 0.059 0.197
12 O 0.252 0.378 0.563
13 O 0.371 0.581 0.025
14 O 0.378 0.252 0.063
15 O 0.389 0.075 0.639
16 O 0.419 0.629 0.475
17 O 0.581 0.371 0.525
18 O 0.611 0.925 0.361
19 O 0.622 0.748 0.937
20 O 0.629 0.419 0.975
21 O 0.748 0.622 0.437
22 O 0.790 0.941 0.803
23 O 0.925 0.611 0.861
24 O 0.941 0.790 0.303

(6)
## Cs2PuO4 (PBEsol)

Data for a relaxed Cs2PuO4 crystal.

For the size of the total moment, the calculation gives 2.000 μB/f.u. The calculated density is 6.9 g cm⁻³. For the uncorrected formation energy, the calculation gives -2.2981 eV per atom. The crystal system is tetragonal.

Cell: 7.998 7.998 7.998 Å, 148.60 148.60 44.99°
Element x y z (fractional)
1 Cs 0.154 0.154 0.000
2 Cs 0.846 0.846 0.000
3 Pu 0.500 0.500 0.000
4 O 0.000 0.500 0.500
5 O 0.371 0.371 0.000
6 O 0.500 0.000 0.500
7 O 0.629 0.629 0.000

(7)
## CsRbO (PBEsol)

Data for a relaxed CsRbO crystal.

For the size of the total moment, the calculation gives 0.022 μB/f.u. The calculated density is 4.7 g cm⁻³. For the uncorrected formation energy, the calculation gives -0.9402 eV per atom. The crystal system is orthorhombic.

Cell: 6.903 4.865 9.815 Å, 90.00 90.00 90.00°
Element x y z (fractional)
1 Cs 0.109 0.250 0.117
2 Cs 0.391 0.750 0.617
3 Cs 0.609 0.250 0.383
4 Cs 0.891 0.750 0.883
5 Rb 0.015 0.750 0.374
6 Rb 0.485 0.250 0.874
7 Rb 0.515 0.750 0.126
8 Rb 0.985 0.250 0.626
9 O 0.215 0.250 0.405
10 O 0.285 0.750 0.905
11 O 0.715 0.250 0.095
12 O 0.785 0.750 0.595

(8)
## CsRbO3 (PBEsol)

Data for a relaxed CsRbO3 crystal.

For the size of the total moment, the calculation gives 4.000 μB/f.u. The calculated density is 3.5 g cm⁻³. For the uncorrected formation energy, the calculation gives 0.1681 eV per atom. The crystal system is cubic.

Cell: 5.005 5.005 5.005 Å, 90.00 90.00 90.00°
Element x y z (fractional)
1 Cs 0.000 0.000 0.000
2 Rb 0.500 0.500 0.500
3 O 0.000 0.500 0.500
4 O 0.500 0.000 0.500
5 O 0.500 0.500 0.000

(9)
## Cs3ReO5 (PBEsol)

Data for a relaxed Cs3ReO5 crystal.

For the size of the total moment, the calculation gives 0.000 μB/f.u. The calculated density is 5.8 g cm⁻³. For the uncorrected formation energy, the calculation gives -1.7887 eV per atom. The crystal system is orthorhombic.

Cell: 6.496 6.496 9.048 Å, 90.00 90.00 84.08°
Element x y z (fractional)
1 Cs 0.199 0.801 0.750
2 Cs 0.267 0.267 0.000
3 Cs 0.267 0.267 0.500
4 Cs 0.733 0.733 0.000
5 Cs 0.733 0.733 0.500
6 Cs 0.801 0.199 0.250
7 Re 0.256 0.744 0.250
8 Re 0.744 0.256 0.750
9 O 0.056 0.557 0.250
10 O 0.158 0.842 0.074
11 O 0.158 0.842 0.426
12 O 0.443 0.944 0.250
13 O 0.464 0.536 0.250
14 O 0.536 0.464 0.750
15 O 0.557 0.056 0.750
16 O 0.842 0.158 0.574
17 O 0.842 0.158 0.926
18 O 0.944 0.443 0.750

(10)
## CsRhO2 (PBEsol)

Data for a relaxed CsRhO2 crystal.

For the size of the total moment, the calculation gives 0.808 μB/f.u. The calculated density is 7.7 g cm⁻³. For the uncorrected formation energy, the calculation gives 0.5888 eV per atom. The crystal system is cubic.

Cell: 4.343 4.343 4.343 Å, 60.00 60.00 60.00°
Element x y z (fractional)
1 Cs 0.000 0.000 0.000
2 Rh 0.500 0.500 0.500
3 O 0.250 0.250 0.250
4 O 0.750 0.750 0.750

(11)
## CsScRh2O (PBEsol)

Data for a relaxed CsScRh2O crystal.

For the size of the total moment, the calculation gives 0.012 μB/f.u. The calculated density is 6.7 g cm⁻³. For the uncorrected formation energy, the calculation gives 0.1353 eV per atom. The crystal system is tetragonal.

Cell: 4.960 4.960 4.023 Å, 90.00 90.00 90.00°
Element x y z (fractional)
1 Cs 0.000 0.000 0.000
2 Sc 0.500 0.500 0.500
3 Rh 0.000 0.500 0.500
4 Rh 0.500 0.000 0.500
5 O 0.500 0.500 0.000

(12)
## CsRuO3 (PBEsol)

Data for a relaxed CsRuO3 crystal.

For the size of the total moment, the calculation gives 3.608 μB/f.u. The calculated density is 5.5 g cm⁻³. For the uncorrected formation energy, the calculation gives 1.5069 eV per atom. The crystal system is cubic.

Cell: 4.401 4.401 4.401 Å, 90.00 90.00 90.00°
Element x y z (fractional)
1 Cs 0.000 0.000 0.000
2 Ru 0.500 0.500 0.500
3 O 0.000 0.000 0.500
4 O 0.000 0.500 0.000
5 O 0.500 0.000 0.000

(13)
## CsRuO3 (PBEsol)

Data for a relaxed CsRuO3 crystal.

For the size of the total moment, the calculation gives 0.004 μB/f.u. The calculated density is 7.4 g cm⁻³. For the uncorrected formation energy, the calculation gives -0.9723 eV per atom. The crystal system is cubic.

Cell: 3.988 3.988 3.988 Å, 90.00 90.00 90.00°
Element x y z (fractional)
1 Cs 0.000 0.000 0.000
2 Ru 0.500 0.500 0.500
3 O 0.000 0.500 0.500
4 O 0.500 0.000 0.500
5 O 0.500 0.500 0.000

(14)
## Cs2RuO4 (PBEsol)

Data for a relaxed Cs2RuO4 crystal.

For the size of the total moment, the calculation gives 2.000 μB/f.u. The calculated density is 4.7 g cm⁻³. For the uncorrected formation energy, the calculation gives -1.3287 eV per atom. The crystal system is orthorhombic.

Cell: 8.431 6.406 11.396 Å, 90.00 90.00 90.00°
Element x y z (fractional)
1 Cs 0.008 0.250 0.203
2 Cs 0.164 0.750 0.418
3 Cs 0.336 0.250 0.918
4 Cs 0.492 0.750 0.703
5 Cs 0.508 0.250 0.297
6 Cs 0.664 0.750 0.082
7 Cs 0.836 0.250 0.582
8 Cs 0.992 0.750 0.797
9 Ru 0.223 0.750 0.079
10 Ru 0.277 0.250 0.579
11 Ru 0.723 0.750 0.421
12 Ru 0.777 0.250 0.921
13 O 0.014 0.750 0.080
14 O 0.200 0.250 0.433
15 O 0.201 0.023 0.649
16 O 0.201 0.477 0.649
17 O 0.299 0.523 0.149
18 O 0.299 0.977 0.149
19 O 0.300 0.750 0.933
20 O 0.486 0.250 0.580
21 O 0.514 0.750 0.420
22 O 0.700 0.250 0.067
23 O 0.701 0.023 0.851
24 O 0.701 0.477 0.851
25 O 0.799 0.523 0.351
26 O 0.799 0.977 0.351
27 O 0.800 0.750 0.567
28 O 0.986 0.250 0.920

(15)
## CsZn2RuO (PBEsol)

Data for a relaxed CsZn2RuO crystal.

For the size of the total moment, the calculation gives 3.062 μB/f.u. The calculated density is 2.9 g cm⁻³. For the uncorrected formation energy, the calculation gives 2.2739 eV per atom. The crystal system is tetragonal.

Cell: 6.475 6.475 5.142 Å, 90.00 90.00 90.00°
Element x y z (fractional)
1 Cs 0.000 0.000 0.000
2 Zn 0.000 0.500 0.000
3 Zn 0.500 0.000 0.000
4 Ru 0.000 0.000 0.500
5 O 0.500 0.500 0.500

(16)
## CsS2O4 (PBEsol)

Data for a relaxed CsS2O4 crystal.

For the size of the total moment, the calculation gives 0.000 μB/f.u. The calculated density is 3.1 g cm⁻³. For the uncorrected formation energy, the calculation gives -1.4331 eV per atom. The crystal system is monoclinic.

Cell: 9.558 15.520 7.639 Å, 90.00 99.36 90.00°
Element x y z (fractional)
1 Cs 0.088 0.100 0.229
2 Cs 0.088 0.400 0.729
3 Cs 0.412 0.601 0.158
4 Cs 0.412 0.899 0.658
5 Cs 0.588 0.101 0.342
6 Cs 0.588 0.399 0.842
7 Cs 0.912 0.600 0.271
8 Cs 0.912 0.900 0.771
9 S 0.041 0.634 0.825
10 S 0.041 0.866 0.325
11 S 0.213 0.705 0.747
12 S 0.213 0.795 0.247
13 S 0.319 0.608 0.623
14 S 0.319 0.892 0.123
15 S 0.322 0.177 0.725
16 S 0.322 0.323 0.225
17 S 0.678 0.677 0.775
18 S 0.678 0.823 0.275
19 S 0.681 0.108 0.877
20 S 0.681 0.392 0.377
21 S 0.787 0.205 0.753
22 S 0.787 0.295 0.253
23 S 0.959 0.134 0.675
24 S 0.959 0.366 0.175
25 O 0.023 0.085 0.829
26 O 0.023 0.415 0.329
27 O 0.047 0.205 0.626
28 O 0.047 0.295 0.126
29 O 0.104 0.581 0.975
30 O 0.104 0.919 0.475
31 O 0.227 0.581 0.462
32 O 0.227 0.919 0.962
33 O 0.339 0.116 0.585
34 O 0.339 0.384 0.085
35 O 0.349 0.233 0.184
36 O 0.349 0.267 0.684
37 O 0.354 0.539 0.753
38 O 0.354 0.961 0.253
39 O 0.442 0.658 0.586
40 O 0.442 0.842 0.086
41 O 0.558 0.158 0.914
42 O 0.558 0.342 0.414
43 O 0.646 0.039 0.747
44 O 0.646 0.461 0.247
45 O 0.651 0.733 0.316
46 O 0.651 0.767 0.816
47 O 0.661 0.616 0.915
48 O 0.661 0.884 0.415
49 O 0.773 0.081 0.038
50 O 0.773 0.419 0.538
51 O 0.896 0.081 0.525
52 O 0.896 0.419 0.025
53 O 0.953 0.705 0.874
54 O 0.953 0.795 0.374
55 O 0.977 0.585 0.671
56 O 0.977 0.915 0.171

(17)
## CsSO3 (PBEsol)

Data for a relaxed CsSO3 crystal.

For the size of the total moment, the calculation gives 0.000 μB/f.u. The calculated density is 3.5 g cm⁻³. For the uncorrected formation energy, the calculation gives -1.6967 eV per atom. The crystal system is hexagonal.

Cell: 6.260 6.260 11.918 Å, 90.00 90.00 120.00°
Element x y z (fractional)
1 Cs 0.000 0.000 0.000
2 Cs 0.000 0.000 0.500
3 Cs 0.333 0.667 0.258
4 Cs 0.667 0.333 0.758
5 S 0.333 0.667 0.602
6 S 0.333 0.667 0.785
7 S 0.667 0.333 0.102
8 S 0.667 0.333 0.285
9 O 0.071 0.536 0.571
10 O 0.202 0.404 0.814
11 O 0.202 0.798 0.814
12 O 0.404 0.202 0.314
13 O 0.464 0.536 0.571
14 O 0.464 0.929 0.571
15 O 0.536 0.071 0.071
16 O 0.536 0.464 0.071
17 O 0.596 0.798 0.814
18 O 0.798 0.202 0.314
19 O 0.798 0.596 0.314
20 O 0.929 0.464 0.071